Record 1
This record from Alexandria via LeMat-Bulk describes a geometry-optimized Ba6Tl2N structure. The functional is PBE-GGA.

Computed properties:
distance to the lowest polymorph of the same formula = 0 meV/atom
spin magnetization = 0.78 μB/f.u.
ΔE_f (raw) = -0.343 eV/atom
density of states at the Fermi level = 1.346 states/eV per atom

Unit cell a=8.1137 b=8.1829 c=11.4382 alpha=90.00 beta=89.80 gamma=90.00
Fractional positions:
Ba (0.2343, 0.2943, 0.9591)
Ba (0.7022, 0.2335, 0.0364)
Ba (0.7657, 0.7057, 0.0409)
Ba (0.2022, 0.2665, 0.5364)
Ba (0.7978, 0.7335, 0.4636)
Ba (0.2657, 0.7943, 0.5409)
Ba (0.4238, 0.5064, 0.2346)
Ba (0.0762, 0.0064, 0.2654)
Ba (0.5762, 0.4936, 0.7654)
Ba (0.7343, 0.2057, 0.4591)
Ba (0.9238, 0.9936, 0.7346)
Ba (0.2978, 0.7665, 0.9636)
Tl (0.4873, 0.0377, 0.7520)
Tl (0.0127, 0.5377, 0.7480)
Tl (0.5127, 0.9623, 0.2480)
Tl (0.9873, 0.4623, 0.2520)
N (0.5000, 0.5000, 0.0000)
N (0.0000, 0.0000, 0.5000)

Record 2
This record from Alexandria via LeMat-Bulk describes a geometry-optimized Tb2Tm3Al structure. The functional is PBE-GGA.

Computed properties:
spin magnetization = 0.00 μB/f.u.
calculated formation energy = -97 meV/atom
density of states at the Fermi level = 1.095 states/eV per atom

Unit cell a=4.8038 b=4.7495 c=7.7450 alpha=107.86 beta=90.00 gamma=90.00
Fractional positions:
Tm (0.5000, 0.8353, 0.6706)
Tm (0.5000, 0.5000, 0.0000)
Tm (0.5000, 0.1647, 0.3294)
Tb (0.0000, 0.6590, 0.3180)
Tb (0.0000, 0.3410, 0.6820)
Al (0.0000, 0.0000, 0.0000)

Record 3
This record from Alexandria via LeMat-Bulk describes a geometry-optimized ScFe3Br structure. The functional is PBE-GGA.

Computed properties:
distance to the lowest polymorph of the same formula = 0 meV/atom
spin magnetization = 4.37 μB/f.u.
ΔE_f (raw) = 0.818 eV/atom
density of states at the Fermi level = 1.070 states/eV per atom

Unit cell a=4.3649 b=4.3649 c=4.3649 alpha=90.00 beta=90.00 gamma=90.00
Last column: magnetic moment on the atom in μB.
Fractional positions:
Fe (0.5000, 0.0000, 0.0000)  1.99
Fe (0.0000, 0.5000, 0.0000)  1.78
Fe (0.0000, 0.0000, 0.5000)  1.57
Sc (0.5000, 0.5000, 0.5000)  -0.47
Br (0.0000, 0.0000, 0.0000)  -0.03

Record 4
This record from Alexandria via LeMat-Bulk describes a geometry-optimized V3Pt13 structure. The functional is PBE-GGA.

Computed properties:
spin magnetization = 0.00 μB/f.u.
calculated formation energy = -289 meV/atom
density of states at the Fermi level = 1.205 states/eV per atom

Unit cell a=5.5871 b=6.6117 c=6.6117 alpha=92.56 beta=90.00 gamma=90.00
Fractional positions:
Pt (0.5000, 0.7928, 0.2072)
Pt (0.2452, 0.9744, 0.5532)
Pt (0.0000, 0.7226, 0.7969)
Pt (0.5000, 0.2807, 0.7193)
Pt (0.7548, 0.9744, 0.5532)
Pt (0.7534, 0.5330, 0.4670)
Pt (0.7548, 0.4468, 0.0256)
Pt (0.0000, 0.7930, 0.2070)
Pt (0.0000, 0.2031, 0.2774)
Pt (0.5000, 0.2006, 0.2743)
Pt (0.2466, 0.5330, 0.4670)
Pt (0.5000, 0.7257, 0.7994)
Pt (0.2452, 0.4468, 0.0256)
V (0.0000, 0.2963, 0.7037)
V (0.2454, 0.0384, 0.9616)
V (0.7546, 0.0384, 0.9616)

Repeat the third record exactly.
This record from Alexandria via LeMat-Bulk describes a geometry-optimized ScFe3Br structure. The functional is PBE-GGA.

Computed properties:
distance to the lowest polymorph of the same formula = 0 meV/atom
spin magnetization = 4.37 μB/f.u.
ΔE_f (raw) = 0.818 eV/atom
density of states at the Fermi level = 1.070 states/eV per atom

Unit cell a=4.3649 b=4.3649 c=4.3649 alpha=90.00 beta=90.00 gamma=90.00
Last column: magnetic moment on the atom in μB.
Fractional positions:
Fe (0.5000, 0.0000, 0.0000)  1.99
Fe (0.0000, 0.5000, 0.0000)  1.78
Fe (0.0000, 0.0000, 0.5000)  1.57
Sc (0.5000, 0.5000, 0.5000)  -0.47
Br (0.0000, 0.0000, 0.0000)  -0.03